This record from OQMD via LeMat-Bulk describes a geometry-optimized La2GdNb2N6 structure. The functional is PBE.

Unit cell a=10.2650 b=10.2650 c=10.2650 alpha=157.23 beta=157.23 gamma=32.42
Atoms (fractional coordinates):
1 N 0.3026 0.3026 0.0000
2 N 0.0792 0.5792 0.5000
3 N 0.9208 0.4208 0.5000
4 N 0.4208 0.9208 0.5000
5 N 0.6974 0.6974 0.0000
6 N 0.5792 0.0792 0.5000
7 Gd 0.0000 0.0000 0.0000
8 La 0.1795 0.1795 0.0000
9 La 0.8205 0.8205 0.0000
10 Nb 0.4029 0.4029 0.0000
11 Nb 0.5971 0.5971 0.0000

Calculated values
For the calculated volume, the calculation gives 14.72 Å³ per atom. The total energy comes out at -98.88 eV for the cell shown. The space-group type is No. 139. The total magnetization comes out at 0.0 μB/cell.